1.
# TcPtI6

Crystalline TcPtI6 at its relaxed geometry (PBE, Alexandria via LeMat-Bulk).

Cell: 7.533 12.172 7.614 Å, 90.00 117.30 90.00°
Space group C2/m (No. 12)
Inequivalent atoms, fractional coordinates:
Tc 0.000 0.000 0.000
Pt 0.000 0.500 0.500
I 0.206 0.000 0.788
I 0.234 0.349 0.742

Computed properties:
ΔE_f (raw): -0.047 eV per atom

=====

2.
# Tc2PtI

Crystalline Tc2PtI at its relaxed geometry (PBE, Alexandria via LeMat-Bulk).

Cell: 6.432 6.432 6.432 Å, 90.00 90.00 90.00°
Space group Fm-3m (No. 225)
Inequivalent atoms, fractional coordinates:
Tc 0.250 0.250 0.250
Pt 0.000 0.000 0.000
I 0.000 0.000 0.500

Computed properties:
ΔE_f (raw): 0.707 eV per atom

=====

3.
# TcPt2I

Crystalline TcPt2I at its relaxed geometry (PBE, Alexandria via LeMat-Bulk).

Cell: 6.592 6.592 9.066 Å, 90.00 90.00 90.00°
Space group I-42d (No. 122)
Inequivalent atoms, fractional coordinates:
Tc 0.000 0.000 0.000
Pt 0.208 0.250 0.125
I 0.000 0.000 0.500

Computed properties:
ΔE_f (raw): 0.759 eV per atom

=====

4.
# TcTePtI2

Crystalline TcTePtI2 at its relaxed geometry (PBE, Alexandria via LeMat-Bulk).

Cell: 5.427 5.427 5.041 Å, 90.00 90.00 90.00°
Space group P4/mmm (No. 123)
Inequivalent atoms, fractional coordinates:
Tc 0.000 0.000 0.000
Te 0.000 0.000 0.500
Pt 0.500 0.500 0.500
I 0.000 0.500 0.000

Computed properties:
ΔE_f (raw): 1.040 eV per atom

=====

5.
# TcTePtI2

Crystalline TcTePtI2 at its relaxed geometry (PBE, Alexandria via LeMat-Bulk).

Cell: 5.443 5.443 5.393 Å, 90.00 90.00 90.00°
Space group P4/mmm (No. 123)
Inequivalent atoms, fractional coordinates:
Tc 0.000 0.000 0.000
Te 0.500 0.500 0.000
Pt 0.500 0.500 0.500
I 0.000 0.500 0.500

Computed properties:
ΔE_f (raw): 0.961 eV per atom

=====

6.
# TiTcPtI2

Crystalline TiTcPtI2 at its relaxed geometry (PBE, Alexandria via LeMat-Bulk).

Cell: 5.415 5.415 4.870 Å, 90.00 90.00 90.00°
Space group P4/mmm (No. 123)
Inequivalent atoms, fractional coordinates:
Ti 0.000 0.000 0.000
Tc 0.500 0.500 0.500
Pt 0.000 0.000 0.500
I 0.000 0.500 0.000

Computed properties:
ΔE_f (raw): 0.967 eV per atom

=====

7.
# Te2Pt2I

Crystalline Te2Pt2I at its relaxed geometry (PBE, Alexandria via LeMat-Bulk).

Cell: 4.020 4.020 16.290 Å, 90.00 90.00 90.00°
Space group I4/mmm (No. 139)
Inequivalent atoms, fractional coordinates:
Te 0.000 0.000 0.138
Pt 0.000 0.500 0.250
I 0.000 0.000 0.500

Computed properties:
ΔE_f (raw): -0.155 eV per atom

=====

8.
# Te2PtI8

Crystalline Te2PtI8 at its relaxed geometry (PBE, Alexandria via LeMat-Bulk).

Cell: 13.984 7.923 12.120 Å, 90.00 118.72 90.00°
Space group C2/m (No. 12)
Inequivalent atoms, fractional coordinates:
Te 0.109 0.000 0.412
Pt 0.000 0.000 0.000
I 0.051 0.231 0.171
I 0.137 0.000 0.673
I 0.163 0.500 0.496

Computed properties:
ΔE_f (raw): -0.043 eV per atom

=====

9.
# Te3PtI

Crystalline Te3PtI at its relaxed geometry (PBE, Alexandria via LeMat-Bulk).

Cell: 5.366 5.366 5.366 Å, 90.00 90.00 90.00°
Space group Pm-3m (No. 221)
Inequivalent atoms, fractional coordinates:
Te 0.000 0.000 0.500
Pt 0.000 0.000 0.000
I 0.500 0.500 0.500

Computed properties:
ΔE_f (raw): 0.331 eV per atom

=====

10.
# TePtI

Crystalline TePtI at its relaxed geometry (PBE, Alexandria via LeMat-Bulk).

Cell: 4.0623 4.0623 5.8779 Å, 90.00 90.00 120.00°
Space group P3m1 (No. 156)
Inequivalent atoms, fractional coordinates:
Te 0.0000 0.0000 0.0000
Pt 0.3333 0.6667 0.7729
I 0.6667 0.3333 0.4907

Computed properties:
ΔE_f (raw): -0.157 eV per atom

=====

11.
# TePt2I

Crystalline TePt2I at its relaxed geometry (PBE, Alexandria via LeMat-Bulk).

Cell: 6.483 6.483 10.664 Å, 90.00 90.00 90.00°
Space group I-42d (No. 122)
Inequivalent atoms, fractional coordinates:
Te 0.000 0.000 0.000
Pt 0.229 0.250 0.125
I 0.000 0.000 0.500

Computed properties:
ΔE_f (raw): 0.106 eV per atom

=====

12.
# Te2Pt2I

Crystalline Te2Pt2I at its relaxed geometry (PBE, Alexandria via LeMat-Bulk).

Cell: 3.978 3.978 16.712 Å, 90.00 90.00 90.00°
Space group I4/mmm (No. 139)
Inequivalent atoms, fractional coordinates:
Te 0.000 0.000 0.177
Pt 0.000 0.000 0.334
I 0.000 0.000 0.500

Computed properties:
ΔE_f (raw): -0.225 eV per atom

=====

Number 1: raw total energy -26.1 eV per formula unit. Number 2: raw total energy -25.5 eV per formula unit. Number 3: raw total energy -21.0 eV per formula unit. Number 4: raw total energy -17.5 eV per formula unit. Number 5: raw total energy -17.8 eV per formula unit. Number 6: raw total energy -22.6 eV per formula unit. Number 7: raw total energy -20.7 eV per formula unit. Number 8: raw total energy -25.2 eV per formula unit. Number 9: raw total energy -15.4 eV per formula unit. Number 10: raw total energy -11.2 eV per formula unit. Number 11: raw total energy -16.3 eV per formula unit. Number 12: raw total energy -21.0 eV per formula unit.